(1)
A plane-wave DFT calculation with PBE was carried out for an optimized crystal structure of Ac2La6CoRu.

Unit cell a=7.596 b=7.597 c=7.967 alpha=115.96 beta=116.74 gamma=93.95
Element x y z (fractional)
Ac: 0.000 0.000 0.000
Ac: 0.376 0.375 0.000
La: 0.405 0.965 0.500
La: 0.408 0.491 0.523
La: 0.485 0.887 0.998
La: 0.878 0.490 0.991
La: 0.895 0.955 0.474
La: 0.911 0.471 0.500
Co: 0.171 0.819 0.614
Ru: 0.564 0.208 0.396

Total DFT energy (no corrections), eV/atom: -5.504
Total magnetization, μB/f.u.: 0.0
Formation enthalpy at 0 K, eV per atom: -0.087

---

(2)
A plane-wave DFT calculation with PBE was carried out for an optimized crystal structure of LiGe6Pd12.

Unit cell a=7.266 b=7.266 c=7.266 alpha=106.01 beta=106.01 gamma=106.01
Element x y z (fractional)
Li: 0.000 0.000 0.000
Ge: 0.257 0.257 0.693
Ge: 0.257 0.693 0.257
Ge: 0.307 0.743 0.743
Ge: 0.693 0.257 0.257
Ge: 0.743 0.307 0.743
Ge: 0.743 0.743 0.307
Pd: 0.124 0.500 0.876
Pd: 0.124 0.876 0.500
Pd: 0.167 0.423 0.423
Pd: 0.423 0.167 0.423
Pd: 0.423 0.423 0.167
Pd: 0.500 0.124 0.876
Pd: 0.500 0.876 0.124
Pd: 0.577 0.577 0.833
Pd: 0.577 0.833 0.577
Pd: 0.833 0.577 0.577
Pd: 0.876 0.124 0.500
Pd: 0.876 0.500 0.124

Total DFT energy (no corrections), eV/atom: -5.251
Total magnetization, μB/f.u.: 0.0
Formation enthalpy at 0 K, eV per atom: -0.412

---

(3)
A plane-wave DFT calculation with PBE was carried out for an optimized crystal structure of Mn3TeH.

Unit cell a=5.032 b=5.032 c=5.032 alpha=90.00 beta=90.00 gamma=90.00
Element x y z (fractional)
Mn: 0.000 0.000 0.500
Mn: 0.000 0.500 0.000
Mn: 0.500 0.000 0.000
Te: 0.000 0.000 0.000
H: 0.500 0.500 0.500

Total DFT energy (no corrections), eV/atom: -5.354
Total magnetization, μB/f.u.: 12.0
Energy relative to the lowest polymorph listed for this composition, meV/atom: 1265

---

(4)
A plane-wave DFT calculation with PBE was carried out for an optimized crystal structure of K2NiHg2H4.

Unit cell a=6.232 b=6.232 c=6.232 alpha=115.73 beta=115.73 gamma=97.57
Element x y z (fractional)
K: 0.250 0.750 0.500
K: 0.750 0.250 0.500
Ni: 0.000 0.000 0.000
Hg: 0.319 0.319 0.000
Hg: 0.681 0.681 0.000
H: 0.165 0.165 0.330
H: 0.165 0.835 0.000
H: 0.835 0.165 0.000
H: 0.835 0.835 0.670

Total DFT energy (no corrections), eV/atom: -2.557
Total magnetization, μB/f.u.: 0.0

---

(5)
A plane-wave DFT calculation with PBE was carried out for an optimized crystal structure of CaTl5Pb6.

Unit cell a=7.778 b=7.778 c=6.210 alpha=96.51 beta=96.51 gamma=84.90
Element x y z (fractional)
Ca: 0.000 0.000 0.000
Tl: 0.164 0.836 0.500
Tl: 0.332 0.668 0.000
Tl: 0.500 0.500 0.500
Tl: 0.668 0.332 0.000
Tl: 0.836 0.164 0.500
Pb: 0.084 0.420 0.255
Pb: 0.254 0.254 0.758
Pb: 0.420 0.084 0.255
Pb: 0.580 0.916 0.745
Pb: 0.746 0.746 0.242
Pb: 0.916 0.580 0.745

Total DFT energy (no corrections), eV/atom: -3.079
Total magnetization, μB/f.u.: 0.0
Formation enthalpy at 0 K, eV per atom: -0.072

---

(6)
A plane-wave DFT calculation with PBE was carried out for an optimized crystal structure of Li2PmPN4.

Unit cell a=4.945 b=4.945 c=4.945 alpha=115.68 beta=115.68 gamma=97.66
Element x y z (fractional)
Li: 0.250 0.750 0.500
Li: 0.750 0.250 0.500
Pm: 0.000 0.000 0.000
P: 0.500 0.500 0.000
N: 0.177 0.546 0.000
N: 0.454 0.454 0.631
N: 0.546 0.177 0.000
N: 0.823 0.823 0.369

Total DFT energy (no corrections), eV/atom: -6.537
Formation energy from raw total energies, kJ/mol of atoms: -60.4
Total magnetization, μB/f.u.: 0.0